(1)
DFT (PBE) results for a relaxed CaCO3 crystal.

a = 4.540 Å, b = 6.661 Å, c = 8.520 Å
α = 90.00°, β = 90.00°, γ = 90.00°
Fractional positions:
Ca: 0.000 0.000 0.500
Ca: 0.500 0.500 0.500
Ca: 0.500 0.500 0.000
Ca: 0.000 0.000 0.000
C: 0.477 0.135 0.250
C: 0.977 0.365 0.750
C: 0.523 0.865 0.750
C: 0.023 0.635 0.250
O: 0.602 0.181 0.117
O: 0.774 0.957 0.750
O: 0.602 0.181 0.383
O: 0.102 0.319 0.617
O: 0.226 0.043 0.250
O: 0.274 0.543 0.250
O: 0.898 0.681 0.383
O: 0.726 0.457 0.750
O: 0.398 0.819 0.617
O: 0.898 0.681 0.117
O: 0.398 0.819 0.883
O: 0.102 0.319 0.883

As for the symmetry: No. 62. For the formation energy without anion corrections, the calculation gives -2.25 eV/atom.



(2)
DFT (PBE) results for a relaxed TiNb crystal.

a = 9.702 Å, b = 9.702 Å, c = 2.803 Å
α = 90.00°, β = 90.00°, γ = 120.00°
Fractional positions:
Ti: 0.060 0.282 0.750
Ti: 0.718 0.778 0.750
Ti: 0.282 0.222 0.250
Ti: 0.940 0.718 0.250
Ti: 0.222 0.940 0.750
Ti: 0.778 0.060 0.250
Nb: 0.622 0.478 0.250
Nb: 0.856 0.378 0.250
Nb: 0.522 0.144 0.250
Nb: 0.144 0.622 0.750
Nb: 0.378 0.522 0.750
Nb: 0.478 0.856 0.750

The formation energy is 0.4030 eV per atom. As for the symmetry: No. 176.



no.,D(E_F) (states/eV per cell)
1,0.0
2,22.9